(1)
DFT (GGA-PBE) results for a relaxed structure of Ac8IrRu2.

Summary:
The value obtained for the raw total energy is -5.7177 eV per atom. The formation energy from the elements comes out at -0.238 eV per atom. The density is 8.8 g/cm³. The space group is No. 12.

a b c (Å): 7.1111 8.0190 8.0190
angles (deg): 65.25 89.44 89.44
Closest atoms and distances in Å follow each position.
Positions (direct):
1 Ir 0.0000 0.0000 0.0000  6 Ac 2.92-3.07, 2 Ru 3.18
2 Ac 0.3374 0.1217 0.1217  1 Ir 2.92, 1 Ru 2.93
3 Ac 0.3247 0.6295 0.6295  1 Ru 2.84
4 Ac 0.1674 0.1317 0.6115  2 Ru 2.89-3.07, 1 Ir 3.07
5 Ac 0.8326 0.8683 0.3885  2 Ru 2.89-3.07, 1 Ir 3.07
6 Ac 0.1674 0.6115 0.1317  2 Ru 2.89-3.07, 1 Ir 3.07
7 Ac 0.6753 0.3705 0.3705  1 Ru 2.84
8 Ac 0.8326 0.3885 0.8683  2 Ru 2.89-3.07, 1 Ir 3.07
9 Ac 0.6626 0.8783 0.8783  1 Ir 2.92, 1 Ru 2.93
10 Ru 0.9842 0.2357 0.2357  6 Ac 2.84-3.07
11 Ru 0.0158 0.7643 0.7643  6 Ac 2.84-3.07

(2)
DFT (GGA-PBE) results for a relaxed structure of SrLa2In.

Summary:
The value obtained for the raw total energy is -3.7051 eV per atom. The formation energy from the elements comes out at -0.136 eV per atom. The density is 5.5 g/cm³. The space group is No. 44.

a b c (Å): 6.9650 6.9650 6.9650
angles (deg): 144.68 131.64 61.29
Closest atoms and distances in Å follow each position.
Positions (direct):
1 La 0.0301 0.0301 0.0000  2 In 3.35, 4 Sr 3.62
2 La 0.7521 0.2521 0.5000  4 In 3.55, 2 Sr 3.87, 4 La 3.90-3.95
3 In 0.2474 0.7474 0.5000  6 La 3.35-3.55, 2 Sr 3.41
4 Sr 0.4703 0.4703 0.0000  2 In 3.41, 4 La 3.62

(3)
DFT (GGA-PBE) results for a relaxed structure of Tb2Al9Rh3.

Summary:
The value obtained for the raw total energy is -5.4808 eV per atom. The formation energy from the elements comes out at -0.838 eV per atom. The density is 6.1 g/cm³. The space group is No. 63.

a b c (Å): 7.5506 7.5506 9.4967
angles (deg): 90.00 90.00 119.37
Closest atoms and distances in Å follow each position.
Positions (direct):
1 Al 0.6599 0.4499 0.7500  2 Rh 2.56, 4 Al 2.74-2.80
2 Al 0.9987 0.6643 0.5750  3 Rh 2.56-2.63, 3 Al 2.76-2.80
3 Al 0.3332 0.3332 0.5496  3 Rh 2.58-2.62, 5 Al 2.71-2.89
4 Al 0.3332 0.3332 0.9504  3 Rh 2.58-2.62, 5 Al 2.71-2.89
5 Al 0.0013 0.3357 0.4250  3 Rh 2.56-2.63, 3 Al 2.76-2.80
6 Al 0.4499 0.6599 0.7500  2 Rh 2.56, 4 Al 2.74-2.80
7 Al 0.3357 0.0013 0.4250  3 Rh 2.56-2.63, 3 Al 2.76-2.80
8 Al 0.3357 0.0013 0.0750  3 Rh 2.56-2.63, 3 Al 2.76-2.80
9 Al 0.6643 0.9987 0.9250  3 Rh 2.56-2.63, 3 Al 2.76-2.80
10 Al 0.3401 0.5501 0.2500  2 Rh 2.56, 4 Al 2.74-2.80
11 Al 0.5501 0.3401 0.2500  2 Rh 2.56, 4 Al 2.74-2.80
12 Al 0.0013 0.3357 0.0750  3 Rh 2.56-2.63, 3 Al 2.76-2.80
13 Al 0.6643 0.9987 0.5750  3 Rh 2.56-2.63, 3 Al 2.76-2.80
14 Al 0.6668 0.6668 0.4504  3 Rh 2.58-2.62, 5 Al 2.71-2.89
15 Al 0.1290 0.1290 0.2500  2 Rh 2.57, 6 Al 2.76-2.77
16 Al 0.6668 0.6668 0.0496  3 Rh 2.58-2.62, 5 Al 2.71-2.89
17 Al 0.9987 0.6643 0.9250  3 Rh 2.56-2.63, 3 Al 2.76-2.80
18 Al 0.8710 0.8710 0.7500  2 Rh 2.57, 6 Al 2.76-2.77
19 Rh 0.3281 0.6719 0.0000  8 Al 2.56-2.63
20 Rh 0.0000 0.0000 0.0000  8 Al 2.57-2.63
21 Rh 0.6719 0.3281 0.5000  8 Al 2.56-2.63
22 Rh 0.6719 0.3281 0.0000  8 Al 2.56-2.63
23 Rh 0.0000 0.0000 0.5000  8 Al 2.57-2.63
24 Rh 0.3281 0.6719 0.5000  8 Al 2.56-2.63
25 Tb 0.6720 0.9953 0.2500  11 Al 3.05-3.16
26 Tb 0.9953 0.6720 0.2500  11 Al 3.05-3.16
27 Tb 0.3280 0.0047 0.7500  11 Al 3.05-3.16
28 Tb 0.0047 0.3280 0.7500  11 Al 3.05-3.16

(4)
DFT (GGA-PBE) results for a relaxed structure of ZrZn2Co.

Summary:
The value obtained for the raw total energy is -4.6242 eV per atom. The formation energy from the elements comes out at -0.074 eV per atom. The density is 7.5 g/cm³. The space group is No. 10.

a b c (Å): 4.4186 2.9260 4.9345
angles (deg): 76.53 90.00 90.00
Closest atoms and distances in Å follow each position.
Positions (direct):
1 Zr 0.5000 0.2500 0.2500  2 Co 2.56
2 Zn 0.0000 0.8908 0.9727  3 Zn 2.52-2.67, 2 Co 2.54
3 Zn 0.0000 0.6092 0.5273  3 Zn 2.52-2.67, 2 Co 2.54
4 Co 0.5000 0.7500 0.7500  4 Zn 2.54, 2 Zr 2.56

(5)
DFT (GGA-PBE) results for a relaxed structure of LaCu2Br.

Summary:
The value obtained for the raw total energy is -4.1943 eV per atom. The density is 5.1 g/cm³. The uncorrected formation energy is -1.98 eV/f.u. The space group is No. 160.

a b c (Å): 7.5207 7.5207 7.5207
angles (deg): 32.96 32.96 32.96
Closest atoms and distances in Å follow each position.
Positions (direct):
1 Br 0.7656 0.7656 0.7656  3 La 3.13
2 Cu 0.2686 0.2686 0.2686  3 Cu 2.47
3 Cu 0.9432 0.9432 0.9432  3 Cu 2.47
4 La 0.5227 0.5227 0.5227  6 Cu 2.99-3.09, 3 Br 3.13

(6)
DFT (GGA-PBE) results for a relaxed structure of Ta5Cd.

Summary:
The value obtained for the raw total energy is -9.7538 eV per atom. The formation energy from the elements comes out at 0.276 eV per atom. The density is 15.0 g/cm³. The space group is No. 38.

a b c (Å): 8.2962 8.2962 5.0080
angles (deg): 90.00 90.00 160.87
Closest atoms and distances in Å follow each position.
Positions (direct):
1 Ta 0.2301 0.7699 0.5000  12 Ta 2.76-3.08
2 Ta 0.8949 0.1051 0.5000  8 Ta 2.76-3.09, 2 Cd 2.98
3 Ta 0.5649 0.4351 0.5000  6 Ta 2.76-3.03
4 Ta 0.3238 0.6762 0.0000  10 Ta 2.76-3.09
5 Ta 0.6596 0.3404 0.0000  10 Ta 2.76-3.08, 2 Cd 3.05
6 Cd 0.9934 0.0066 0.0000  2 Cd 2.76, 4 Ta 2.98-3.05

(7)
DFT (GGA-PBE) results for a relaxed structure of BeZnWSe2.

Summary:
The value obtained for the raw total energy is -3.6633 eV per atom. The density is 7.0 g/cm³. The uncorrected formation energy is 6.61 eV/f.u. The space group is No. 123.

a b c (Å): 4.9407 4.0517 4.9407
angles (deg): 90.00 90.00 90.00
Closest atoms and distances in Å follow each position.
Positions (direct):
1 Be 0.0000 0.5000 0.0000  2 Zn 2.03
2 Se 0.0000 0.0000 0.5000  2 Zn 2.47
3 Se 0.5000 0.0000 0.0000  2 Zn 2.47
4 Zn 0.0000 0.0000 0.0000  2 Be 2.03
5 W 0.5000 0.5000 0.5000  8 Se 3.19, 4 Be 3.49

(8)
DFT (GGA-PBE) results for a relaxed structure of KCo2Os.

Summary:
The value obtained for the raw total energy is -5.9472 eV per atom. The formation energy from the elements comes out at 0.688 eV per atom. The density is 8.0 g/cm³. The space group is No. 47.

a b c (Å): 2.6492 3.6195 7.4694
angles (deg): 90.00 90.00 90.00
Closest atoms and distances in Å follow each position.
Positions (direct):
1 Os 0.5000 0.5000 0.7500  8 Co 2.53, 2 Os 2.65
2 Co 0.0000 0.0000 0.5936  1 Co 2.34, 4 Os 2.53
3 Co 0.0000 0.0000 0.9064  1 Co 2.34, 4 Os 2.53
4 K 0.5000 0.5000 0.2500  2 K 2.65

(9)
DFT (GGA-PBE) results for a relaxed structure of PmThGaRh.

Summary:
The value obtained for the raw total energy is -6.3718 eV per atom. The formation energy from the elements comes out at -0.735 eV per atom. The density is 9.3 g/cm³. The space group is No. 38.

a b c (Å): 4.2193 3.9256 6.2696
angles (deg): 90.00 109.66 90.00
Closest atoms and distances in Å follow each position.
Positions (direct):
1 Th 0.8717 0.5000 0.7433  4 Rh 2.91, 2 Ga 3.16
2 Pm 0.1484 0.0000 0.2968  4 Ga 3.02, 1 Rh 3.07
3 Rh 0.4086 0.0000 0.8171  2 Ga 2.75, 4 Th 2.91, 1 Pm 3.07
4 Ga 0.5713 0.5000 0.1427  2 Rh 2.75, 4 Pm 3.02

(10)
DFT (GGA-PBE) results for a relaxed structure of ErZnCd4.

Summary:
The value obtained for the raw total energy is -1.6559 eV per atom. The formation energy from the elements comes out at -0.073 eV per atom. The density is 8.2 g/cm³. The space group is No. 12.

a b c (Å): 5.1133 7.0754 8.7677
angles (deg): 113.80 106.87 90.00
Closest atoms and distances in Å follow each position.
Positions (direct):
1 Er 0.2013 0.1998 0.3996  12 Cd 3.18-3.56
2 Er 0.7987 0.8002 0.6004  12 Cd 3.18-3.56
3 Cd 0.0000 0.1847 0.0000  2 Zn 2.61, 1 Cd 2.61
4 Cd 0.1715 0.6748 0.3496  2 Zn 2.96-3.02, 2 Er 3.18-3.20, 4 Cd 3.25-3.29
5 Cd 0.8285 0.3252 0.6504  2 Zn 2.96-3.02, 2 Er 3.18-3.20, 4 Cd 3.25-3.29
6 Cd 0.6294 0.8983 0.2554  2 Zn 2.96-3.00, 5 Cd 3.22-3.29, 3 Er 3.22-3.25
7 Cd 0.3706 0.1017 0.7446  2 Zn 2.96-3.00, 5 Cd 3.22-3.29, 3 Er 3.22-3.25
8 Cd 0.6294 0.3571 0.2554  2 Zn 2.96-3.00, 5 Cd 3.22-3.29, 3 Er 3.22-3.25
9 Cd 0.3706 0.6429 0.7446  2 Zn 2.96-3.00, 5 Cd 3.22-3.29, 3 Er 3.22-3.25
10 Cd 0.0000 0.8153 0.0000  2 Zn 2.61, 1 Cd 2.61
11 Zn 0.7313 0.4972 0.9944  1 Zn 2.40, 2 Cd 2.61
12 Zn 0.2687 0.5028 0.0056  1 Zn 2.40, 2 Cd 2.61

(11)
DFT (GGA-PBE) results for a relaxed structure of Tm2PaRh2.

Summary:
The value obtained for the raw total energy is -7.1514 eV per atom. The formation energy from the elements comes out at -0.523 eV per atom. The density is 10.9 g/cm³. The space group is No. 72.

a b c (Å): 5.9108 7.1320 7.1320
angles (deg): 64.01 65.52 65.52
Closest atoms and distances in Å follow each position.
Positions (direct):
1 Pa 0.7500 0.5000 0.5000  4 Rh 2.78, 2 Pa 2.96
2 Pa 0.2500 0.5000 0.5000  4 Rh 2.78, 2 Pa 2.96
3 Rh 0.5821 0.1282 0.7077  3 Tm 2.75-2.86, 2 Pa 2.78
4 Rh 0.9179 0.2923 0.8718  3 Tm 2.75-2.86, 2 Pa 2.78
5 Rh 0.4179 0.8718 0.2923  3 Tm 2.75-2.86, 2 Pa 2.78
6 Rh 0.0821 0.7077 0.1282  3 Tm 2.75-2.86, 2 Pa 2.78
7 Tm 0.8210 0.0357 0.3222  3 Rh 2.75-2.86
8 Tm 0.1790 0.9643 0.6778  3 Rh 2.75-2.86
9 Tm 0.3210 0.3222 0.0357  3 Rh 2.75-2.86
10 Tm 0.6790 0.6778 0.9643  3 Rh 2.75-2.86

(12)
DFT (GGA-PBE) results for a relaxed structure of Mg2TePd6.

Summary:
The value obtained for the raw total energy is -4.5681 eV per atom. The density is 8.5 g/cm³. The uncorrected formation energy is -3.62 eV/f.u. The space group is No. 12.

a b c (Å): 4.5475 7.0152 7.0152
angles (deg): 46.81 78.64 78.64
Closest atoms and distances in Å follow each position.
Positions (direct):
1 Pd 0.3357 0.3578 0.8544  1 Te 2.66, 6 Pd 2.77-2.97, 2 Mg 2.78-2.86
2 Pd 0.2344 0.7974 0.7974  1 Te 2.60, 4 Mg 2.70-2.80, 4 Pd 2.78-2.89
3 Pd 0.6643 0.6422 0.1456  1 Te 2.66, 6 Pd 2.77-2.97, 2 Mg 2.78-2.86
4 Pd 0.7656 0.2026 0.2026  1 Te 2.60, 4 Mg 2.70-2.80, 4 Pd 2.78-2.89
5 Pd 0.3357 0.8544 0.3578  1 Te 2.66, 6 Pd 2.77-2.97, 2 Mg 2.78-2.86
6 Pd 0.6643 0.1456 0.6422  1 Te 2.66, 6 Pd 2.77-2.97, 2 Mg 2.78-2.86
7 Te 0.0000 0.0000 0.0000  6 Pd 2.60-2.66
8 Mg 0.8023 0.6802 0.6802  8 Pd 2.70-2.86
9 Mg 0.1977 0.3198 0.3198  8 Pd 2.70-2.86